No. 1
5
Lattice="5.2300 0.0000 0.0000 0.0000 5.2300 0.0000 0.0000 0.0000 5.0272" Properties=species:S:1:pos:R:3 comment="KLiGaHg2, optimized geometry, DFT PBE-GGA" ef_ev_per_atom=-0.0657 spacegroup="No. 123" m_tot_mub_per_fu=0.00 dos_ef_per_ev_cell=3.0 relative_energy_kj_per_mol_fu=28.9 pbc="T T T"
K 0.0000 0.0000 0.0000
Li 2.6150 2.6150 2.5136
Ga 2.6150 2.6150 0.0000
Hg 0.0000 2.6150 2.5136
Hg 2.6150 0.0000 2.5136

---

No. 2
10
Lattice="8.3621 0.0000 0.0000 0.0000 8.3621 0.0000 0.0000 0.0000 3.2471" Properties=species:S:1:pos:R:3 comment="KAg2Se2, optimized geometry, DFT PBE-GGA" spacegroup="No. 127" m_tot_mub_per_fu=0.00 dos_ef_per_ev_cell=2.8 raw_formation_energy_ev_per_fu=-1.41 relative_energy_kj_per_mol_fu=75.8 pbc="T T T"
K 0.0000 0.0000 0.0000
K 4.1811 4.1811 0.0000
Ag 1.0124 3.1686 0.0000
Ag 3.1686 7.3497 0.0000
Ag 5.1935 1.0124 0.0000
Ag 7.3497 5.1935 0.0000
Se 1.5018 5.6829 1.6236
Se 2.6792 1.5018 1.6236
Se 5.6829 6.8603 1.6236
Se 6.8603 2.6792 1.6236

---

No. 3
12
Lattice="6.0501 -2.9654 0.0000 6.0501 2.9654 0.0000 -6.0330 0.0000 11.3243" Properties=species:S:1:pos:R:3 comment="Nd4Dy7Tm, optimized geometry, DFT PBE-GGA" ef_ev_per_atom=0.2719 spacegroup="No. 12" m_tot_mub_per_fu=0.00 dos_ef_per_ev_cell=20.1 relative_energy_kj_per_mol_fu=211.5 pbc="T T T"
Nd -1.3908 0.0000 3.8251
Nd 3.0620 0.0000 2.5213
Nd 3.0052 0.0000 8.8030
Nd 7.4581 0.0000 7.4992
Dy 0.0000 0.0000 0.0000
Dy -3.0059 0.0000 10.4597
Dy -0.9776 0.0000 7.8527
Dy 1.3987 0.0000 5.5881
Dy 4.6686 0.0000 5.7362
Dy 7.0449 0.0000 3.4716
Dy 9.0731 0.0000 0.8646
Tm 6.0501 0.0000 0.0000

---

No. 4
20
Lattice="5.1281 -4.2317 0.0000 5.1281 4.2317 0.0000 -1.9000 0.0000 6.6431" Properties=species:S:1:pos:R:3 comment="CdCu2TeO6, optimized geometry, DFT PBE-GGA" spacegroup="No. 15" m_tot_mub_per_fu=1.91 dos_ef_per_ev_cell=5.1 raw_formation_energy_ev_per_fu=-7.68 pbc="T T T"
Cd 3.7032 3.2070 4.9823
Cd 4.6532 -3.2070 1.6608
Cu 1.6283 0.5107 5.9391
Cu 2.5783 -0.5107 2.6176
Cu 5.7780 0.5107 4.0255
Cu 6.7280 -0.5107 0.7040
Te 4.6532 1.9957 1.6608
Te 3.7032 -1.9957 4.9823
O -0.1261 0.7663 5.0945
O 0.8239 -0.7663 1.7730
O 3.1898 0.7068 1.2109
O 3.1553 1.6702 6.4160
O 4.2510 1.6702 3.5487
O 2.2399 -0.7068 4.5324
O 6.1165 0.7068 2.1106
O 4.1053 -1.6702 3.0944
O 5.2010 -1.6702 0.2271
O 5.1665 -0.7068 5.4322
O 7.5324 0.7663 4.8701
O 8.4824 -0.7663 1.5485

---

No. 5
8
Lattice="4.4235 0.0000 0.0000 0.0000 4.5668 0.0000 -2.2091 0.0000 10.5539" Properties=species:S:1:pos:R:3 comment="TbSc2Tl, optimized geometry, DFT PBE-GGA" ef_ev_per_atom=-0.1811 spacegroup="No. 11" m_tot_mub_per_fu=0.00 dos_ef_per_ev_cell=11.4 relative_energy_kj_per_mol_fu=0.0 pbc="T T T"
Tb -0.0002 1.1417 4.0164
Tb 2.2146 3.4251 6.5375
Sc -0.0006 3.4251 1.1344
Sc 0.0031 3.4251 9.2432
Sc 2.2113 1.1417 1.3106
Sc 2.2149 1.1417 9.4195
Tl 0.0039 1.1417 7.1915
Tl 2.2104 3.4251 3.3624

---

No. 6
20
Lattice="7.8210 4.5155 2.9629 -7.8210 4.5155 2.9629 0.0000 -9.0309 2.9629" Properties=species:S:1:pos:R:3 comment="Pm12TmSn7, optimized geometry, DFT PBE-GGA" ef_ev_per_atom=-0.4121 spacegroup="No. 166" m_tot_mub_per_fu=0.00 dos_ef_per_ev_cell=23.3 pbc="T T T"
Pm -2.1422 -5.3205 2.9629
Pm -5.6788 0.8050 2.9629
Pm -2.5986 -1.5003 3.4230
Pm 2.1422 -5.3205 2.9629
Pm -3.5365 4.5155 2.9629
Pm 2.5986 -1.5003 3.4230
Pm 0.0000 3.0006 3.4230
Pm 0.0000 -3.0006 5.4657
Pm -2.5986 1.5003 5.4657
Pm 5.6788 0.8050 2.9629
Pm 3.5365 4.5155 2.9629
Pm 2.5986 1.5003 5.4657
Tm 0.0000 0.0000 0.0000
Sn 0.0000 -2.7709 2.1195
Sn -2.3997 1.3854 2.1195
Sn 2.3997 1.3854 2.1195
Sn 0.0000 0.0000 4.4443
Sn -2.3997 -1.3854 6.7692
Sn 2.3997 -1.3854 6.7692
Sn 0.0000 2.7709 6.7692

---

No. 7
6
Lattice="2.2936 -6.6476 0.0000 2.2936 6.6476 0.0000 0.0000 0.0000 4.4961" Properties=species:S:1:pos:R:3 comment="ScCdSn, optimized geometry, DFT PBE-GGA" ef_ev_per_atom=-0.3499 spacegroup="No. 65" m_tot_mub_per_fu=0.00 dos_ef_per_ev_cell=3.0 pbc="T T T"
Sc 2.2936 4.6187 0.0000
Sc 2.2936 -4.6187 0.0000
Cd 2.2936 2.3934 2.2481
Cd 2.2936 -2.3935 2.2481
Sn 0.0000 0.0000 2.2481
Sn 2.2936 0.0000 0.0000

---

No. 8
5
Lattice="-2.1590 2.1590 8.1143 2.1590 -2.1590 8.1143 2.1590 2.1590 -8.1143" Properties=species:S:1:pos:R:3 comment="Hg2Pb2Br, optimized geometry, DFT PBE-GGA" spacegroup="No. 139" m_tot_mub_per_fu=0.00 dos_ef_per_ev_cell=2.9 raw_formation_energy_ev_per_fu=-0.37 relative_energy_kj_per_mol_fu=33.2 pbc="T T T"
Hg 2.1590 0.0000 4.0572
Hg 0.0000 2.1590 4.0572
Pb 0.0000 0.0000 1.6365
Pb 0.0000 0.0000 14.5921
Br 0.0000 0.0000 8.1143